NbRePO2 after structural relaxation, computed with GGA-PBE.

Properties
formation energy from raw total energies: -0.48 eV per atom
crystal system: tetragonal
M_tot: 0.768 μB/atom
uncorrected energy: -8.045 eV/atom

Unit cell a=3.853 b=3.853 c=5.468 alpha=90.00 beta=90.00 gamma=90.00
Element x y z (fractional)
Nb 0.000 0.000 0.000
Re 0.500 0.500 0.500
P 0.000 0.000 0.500
O 0.000 0.500 0.000
O 0.500 0.000 0.000